[1]
6
Lattice="4.7838 0.0000 0.0000 2.3919 4.1429 0.0000 2.3919 1.3810 3.9060" Properties=species:S:1:pos:R:3 comment="MnCo4Sn (PBE, relaxed)" delta_e_f_ev_per_atom=0.063 space_group=F-43m total_magnetization_mub_per_atom=1.4770 pbc="T T T"
Co 5.9830 3.4543 2.4425
Co 4.7839 2.7620 0.4844
Co 4.7839 1.3773 2.4425
Co 3.5847 3.4543 2.4425
Sn 2.3919 1.3810 0.9765
Mn 0.0000 0.0000 0.0000

***

[2]
6
Lattice="-3.2720 3.2720 2.7105 3.2720 -3.2720 2.7105 3.2720 3.2720 -2.7105" Properties=species:S:1:pos:R:3 comment="MnCoSn4 (PBE, relaxed)" delta_e_f_ev_per_atom=-0.011 space_group=I422 total_magnetization_mub_per_atom=0.4757 pbc="T T T"
Sn -1.0757 4.3477 1.3553
Sn 4.3477 1.0757 1.3553
Sn 1.0757 2.1963 1.3553
Sn 2.1963 -1.0757 1.3553
Mn 0.0000 0.0000 2.7105
Co 0.0000 0.0000 0.0000

***

[3]
5
Lattice="4.8805 0.0000 0.0000 0.0000 5.9631 0.0000 0.0000 0.0000 4.8805" Properties=species:S:1:pos:R:3 comment="Mn2CoSnTe (PBE, relaxed)" raw_formation_energy_mev_per_atom=1369 space_group=P4/mmm total_magnetization_mub_per_atom=1.9021 pbc="T T T"
Mn 2.4403 0.0000 0.0000
Mn 0.0000 0.0000 2.4403
Te 0.0000 0.0000 0.0000
Co 2.4403 2.9815 2.4403
Sn 0.0000 2.9815 0.0000

***

[4]
5
Lattice="-3.5921 0.1250 -3.2901 2.2082 -3.7352 -2.5528 -2.5045 -3.2646 2.6103" Properties=species:S:1:pos:R:3 comment="MnTlCoSn2 (PBE, relaxed)" delta_e_f_ev_per_atom=0.469 space_group=P4/mmm total_magnetization_mub_per_atom=0.8003 pbc="T T T"
Mn -1.9441 -3.4374 -1.6163
Tl 1.1041 -1.8676 -1.2764
Sn -1.7960 0.0625 -1.6451
Sn -1.2522 -1.6323 1.3051
Co 0.0000 0.0000 0.0000

***

[5]
5
Lattice="4.5466 0.0000 0.0000 0.0000 4.2405 0.0000 0.0000 0.0000 4.5466" Properties=species:S:1:pos:R:3 comment="Mn2VCoSn (PBE, relaxed)" delta_e_f_ev_per_atom=0.548 space_group=P4/mmm total_magnetization_mub_per_atom=1.2246 pbc="T T T"
Sn 2.2733 2.1202 2.2733
V 0.0000 2.1202 0.0000
Mn 0.0000 0.0000 2.2733
Mn 2.2733 0.0000 0.0000
Co 0.0000 0.0000 0.0000

***

[6]
4
Lattice="-1.4744 2.6791 3.2174 -4.1631 -0.3998 1.4870 -0.7598 -1.6195 4.0624" Properties=species:S:1:pos:R:3 comment="ZrMnCoSn (PBE, relaxed)" delta_e_f_ev_per_atom=-0.181 space_group=F-43m total_magnetization_mub_per_atom=0.0000 pbc="T T T"
Co 0.0000 0.0000 0.0000
Zr -4.7980 0.4948 6.5751
Mn -3.1987 0.3299 4.3834
Sn -1.5993 0.1649 2.1917

***

[7]
4
Lattice="3.5141 0.0000 0.0000 0.0000 3.5139 0.0000 0.0000 0.0000 8.8267" Properties=species:S:1:pos:R:3 comment="Sr2MnCo (PBE, relaxed)" delta_e_f_ev_per_atom=0.421 space_group=P4mm total_magnetization_mub_per_atom=1.2241 de_polymorph_kj_per_mol_fu=71 pbc="T T T"
Mn 1.7570 1.7570 5.8972
Sr 1.7570 1.7570 2.9273
Sr 0.0000 0.0000 8.1248
Co 0.0000 0.0000 5.1176

***

[8]
4
Lattice="-5.4177 -7.8132 -1.8740 -1.8598 -9.2962 -2.0078 -3.6456 -8.8714 1.3843" Properties=species:S:1:pos:R:3 comment="Sr2MnCo (PBE, relaxed)" delta_e_f_ev_per_atom=0.858 space_group=R-3m total_magnetization_mub_per_atom=0.7879 de_polymorph_kj_per_mol_fu=239 pbc="T T T"
Sr -5.6009 -13.3219 -1.2806
Sr -10.7837 -25.6492 -2.4657
Mn -8.1923 -19.4855 -1.8732
Co -2.7308 -6.4952 -0.6244

***

We obtain E values of -6.870; -5.392; -5.149; -4.861; -7.166; -7.388; -4.488; -4.052 eV/atom for the records listed above, in that order.